Below is a relaxed NaCoPO crystal, with properties calculated at the PBE+U level.

Lattice parameters (Å, degrees): 3.4100 6.6782 5.1881 90.00 90.00 90.00
Space group Pmc2_1 (No. 26)
Unique sites:
Na: 0.0000 0.1477 0.0000 x2
Co: 0.5000 0.2036 0.4946 x2
P: 0.0000 0.4360 0.4859 x2
O: 0.5000 0.0040 0.7494 x2

Magnetic moment = 2.28 μB/f.u.
VASP energy = -4.707 eV per atom
Calculated density = 3.62 g/cm3